1.
A relaxed structure of BaNdAg2Te4. Source: Alexandria via LeMat-Bulk, functional PBE.

Geometry as POSCAR:
```
BaNdAg2Te4
1.0
-3.7744 4.0635 4.4803
3.7744 -4.0635 4.4803
3.7744 4.0635 -4.4803
Ba Nd Ag Te
1 1 2 4
Direct
0.0000 0.0000 0.0000
0.5000 0.5000 0.0000
0.3276 0.8276 0.5000
0.6724 0.1724 0.5000
0.0711 0.0711 0.5523
0.4812 0.9289 0.0000
0.5188 0.5187 0.4477
0.9289 0.4813 0.0000
```

Values from the calculation:
formation energy (no corrections)	-0.801	eV/atom
electronic total energy	-31.4	eV/f.u.
space group	I222, No. 23



2.
A relaxed structure of KInAg3. Source: Alexandria via LeMat-Bulk, functional PBE.

Geometry as POSCAR:
```
KInAg3
1.0
5.7453 0.0000 0.0000
0.0000 5.7453 0.0000
0.0000 0.0000 5.7453
K In Ag
1 1 3
Direct
0.0000 0.0000 0.0000
0.5000 0.5000 0.5000
0.0000 0.0000 0.5000
0.0000 0.5000 0.0000
0.5000 0.0000 0.0000
```

Values from the calculation:
excess energy over the best structure of this formula in the dataset	91.09	kJ/mol of atoms
electronic total energy	-7.6	eV/f.u.
space group	Pm-3m, No. 221
ΔE_f	0.964	eV/atom



3.
A relaxed structure of Co2NiW. Source: Alexandria via LeMat-Bulk, functional PBE.

Geometry as POSCAR:
```
Co2NiW
1.0
1.3146 0.7590 8.3458
-1.3146 0.7590 8.3458
0.0000 -1.5179 8.3458
Co Ni W
2 1 1
Direct
0.2457 0.2457 0.2457
0.7543 0.7543 0.7543
0.5000 0.5000 0.5000
0.0000 0.0000 0.0000
```

Values from the calculation:
excess energy over the best structure of this formula in the dataset	26.56	kJ/mol of atoms
electronic total energy	-32.0	eV/f.u.
space group	R-3m, No. 166
ΔE_f	0.233	eV/atom



4.
A relaxed structure of U2AlRu3. Source: Alexandria via LeMat-Bulk, functional PBE.

Geometry as POSCAR:
```
U2AlRu3
1.0
2.8082 1.6213 3.7444
-2.8082 1.6213 3.7444
0.0000 -3.2426 3.7444
U Al Ru
2 1 3
Direct
0.1227 0.1227 0.1227
0.8773 0.8773 0.8773
0.5000 0.5000 0.5000
0.0000 0.5000 0.5000
0.5000 0.0000 0.5000
0.5000 0.5000 0.0000
```

Values from the calculation:
electronic total energy	-56.5	eV/f.u.
space group	R-3m, No. 166
ΔE_f	-0.391	eV/atom



5.
A relaxed structure of Th6Co2TeOs3. Source: Alexandria via LeMat-Bulk, functional PBE.

Geometry as POSCAR:
```
Th6Co2TeOs3
1.0
8.9256 -2.0688 0.0000
8.9256 2.0688 0.0000
-1.8010 0.0000 8.2249
Th Co Te Os
6 2 1 3
Direct
0.0099 0.0099 0.2850
0.3161 0.3161 0.8995
0.3305 0.3305 0.4059
0.6695 0.6695 0.5941
0.6839 0.6839 0.1005
0.9901 0.9901 0.7150
0.1720 0.1720 0.3448
0.8280 0.8280 0.6552
0.5000 0.5000 0.0000
0.1588 0.1588 0.8379
0.5000 0.5000 0.5000
0.8412 0.8412 0.1621
```

Values from the calculation:
formation energy (no corrections)	-0.297	eV/atom
electronic total energy	-99.1	eV/f.u.
space group	C2/m, No. 12



6.
A relaxed structure of NiAu4. Source: Alexandria via LeMat-Bulk, functional PBE.

Geometry as POSCAR:
```
NiAu4
1.0
4.7363 0.0000 0.0000
0.0000 4.7363 0.0000
0.0000 0.0000 4.7363
Ni Au
1 4
Direct
0.0000 0.0000 0.0000
0.0000 0.0000 0.5000
0.0000 0.5000 0.0000
0.5000 0.0000 0.0000
0.5000 0.5000 0.5000
```

Values from the calculation:
electronic total energy	-15.1	eV/f.u.
space group	Pm-3m, No. 221
ΔE_f	0.757	eV/atom



7.
A relaxed structure of NdGa4IrRu2. Source: Alexandria via LeMat-Bulk, functional PBE.

Geometry as POSCAR:
```
NdGa4IrRu2
1.0
2.1360 1.2332 8.7329
-2.1360 1.2332 8.7329
0.0000 -2.4664 8.7329
Nd Ga Ir Ru
1 4 1 2
Direct
0.0000 0.0000 0.0000
0.1309 0.1309 0.1309
0.4022 0.4022 0.4022
0.5978 0.5978 0.5978
0.8691 0.8691 0.8691
0.5000 0.5000 0.5000
0.2347 0.2347 0.2347
0.7653 0.7653 0.7653
```

Values from the calculation:
electronic total energy	-47.7	eV/f.u.
space group	R-3m, No. 166
ΔE_f	-0.430	eV/atom



8.
A relaxed structure of ZrP2Ru. Source: Alexandria via LeMat-Bulk, functional PBE.

Geometry as POSCAR:
```
ZrP2Ru
1.0
1.5426 0.8906 7.7376
-1.5426 0.8906 7.7376
0.0000 -1.7812 7.7376
Zr P Ru
1 2 1
Direct
0.0000 0.0000 0.0000
0.2451 0.2451 0.2451
0.5017 0.5017 0.5017
0.7680 0.7680 0.7680
```

Values from the calculation:
excess energy over the best structure of this formula in the dataset	58.27	kJ/mol of atoms
electronic total energy	-29.5	eV/f.u.
space group	R3m, No. 160
ΔE_f	-0.218	eV/atom



Please write out number 7 again, unchanged.
A relaxed structure of NdGa4IrRu2. Source: Alexandria via LeMat-Bulk, functional PBE.

Geometry as POSCAR:
```
NdGa4IrRu2
1.0
2.1360 1.2332 8.7329
-2.1360 1.2332 8.7329
0.0000 -2.4664 8.7329
Nd Ga Ir Ru
1 4 1 2
Direct
0.0000 0.0000 0.0000
0.1309 0.1309 0.1309
0.4022 0.4022 0.4022
0.5978 0.5978 0.5978
0.8691 0.8691 0.8691
0.5000 0.5000 0.5000
0.2347 0.2347 0.2347
0.7653 0.7653 0.7653
```

Values from the calculation:
electronic total energy	-47.7	eV/f.u.
space group	R-3m, No. 166
ΔE_f	-0.430	eV/atom



Repeat the seventh record exactly.
A relaxed structure of NdGa4IrRu2. Source: Alexandria via LeMat-Bulk, functional PBE.

Geometry as POSCAR:
```
NdGa4IrRu2
1.0
2.1360 1.2332 8.7329
-2.1360 1.2332 8.7329
0.0000 -2.4664 8.7329
Nd Ga Ir Ru
1 4 1 2
Direct
0.0000 0.0000 0.0000
0.1309 0.1309 0.1309
0.4022 0.4022 0.4022
0.5978 0.5978 0.5978
0.8691 0.8691 0.8691
0.5000 0.5000 0.5000
0.2347 0.2347 0.2347
0.7653 0.7653 0.7653
```

Values from the calculation:
electronic total energy	-47.7	eV/f.u.
space group	R-3m, No. 166
ΔE_f	-0.430	eV/atom



Q: What is the formula in the second record?
A: KInAg3



Q: What is the electronic total energy in the third record?
A: -32.0 eV/f.u.